Computed, not measured: a geometry-optimized AlAgW structure at the GGA-PBE level of DFT.

Cell lengths 4.383, 4.383, 4.383 Å; angles 60.00, 60.00, 60.00 degrees
Sites, in units of the cell vectors:
W: 0.000 0.000 0.000
Al: 0.750 0.750 0.750
Ag: 0.250 0.250 0.250

Values from the calculation:
**SG**: F-43m
**Uncorrected energy**: -5.36 eV/atom